[1]
{
  "formula": "NdErCdNi",
  "functional": "GGA-PBE",
  "state": "relaxed",
  "energy_ev_per_atom": -4.23,
  "dos_ef_per_ev_atom": 0.833,
  "spacegroup": "F-43m (216)",
  "cell": [[-4.3796, 2.2147, 1.4604], [-4.4872, -2.0750, -1.3335], [-2.9414, -2.2353, 3.5454]],
  "species": ["Er", "Nd", "Cd", "Ni"],
  "frac_coords": [[0.5000, 0.5000, 0.5000], [0.0000, 0.0000, 0.0000], [0.7500, 0.7500, 0.7500], [0.2500, 0.2500, 0.2500]]
}

***

[2]
{
  "formula": "TcMo5Rh6",
  "functional": "GGA-PBE",
  "state": "relaxed",
  "energy_ev_per_atom": -9.22,
  "dos_ef_per_ev_atom": 0.655,
  "spacegroup": "Immm (71)",
  "cell": [[-3.3122, -0.8404, 1.8230], [2.7627, -6.4160, -2.0475], [4.4537, 2.5545, 5.1604]],
  "species": ["Rh", "Rh", "Rh", "Rh", "Rh", "Rh", "Mo", "Mo", "Mo", "Mo", "Mo", "Tc"],
  "frac_coords": [[0.2498, 0.0835, 0.4161], [0.7499, 0.2498, 0.2498], [0.7502, 0.5839, 0.9165], [0.2498, 0.4161, 0.0835], [0.7502, 0.9165, 0.5839], [0.2501, 0.7502, 0.7502], [0.0000, 0.3334, 0.6666], [0.5000, 0.8362, 0.1638], [0.0000, 0.6666, 0.3334], [0.5000, 0.1638, 0.8362], [0.5000, 0.5000, 0.5000], [0.0000, 0.0000, 0.0000]]
}

***

[3]
{
  "formula": "PmSmTeS",
  "functional": "GGA-PBE",
  "state": "relaxed",
  "energy_ev_per_atom": -5.76,
  "dos_ef_per_ev_atom": 0.480,
  "spacegroup": "R3m (160)",
  "formation_energy_uncorrected_ev_per_atom": -1.574,
  "cell": [[4.0403, -0.0019, -0.0030], [-2.0210, 3.5016, 0.0012], [-2.0137, -1.1645, 7.7244]],
  "species": ["Te", "Pm", "Sm", "S"],
  "frac_coords": [[0.3027, 0.5493, 0.8674], [0.1482, 0.9721, 0.1352], [0.4576, 0.1267, 0.6001], [0.9694, 0.3827, 0.3670]]
}

***

| no. | V (Å³ per cell) |
| --- | --- |
| 1 | 94.93 |
| 2 | 176.94 |
| 3 | 109.23 |